1) Gd2YZr after structural relaxation. Source: Alexandria, functional GGA-PBE.

The structure in POSCAR format:
```
Gd2YZr
1.0
3.381 0.000 0.000
1.690 2.928 0.000
1.690 0.976 12.034
Y Gd Zr
1 2 1
Direct
0.500 0.500 0.500
0.086 0.086 0.743
0.914 0.914 0.257
0.000 0.000 0.000
```

Mass density   6895 kg/m³
Space-group type   R-3m (166)
Spin magnetization   14.8 μB per cell


2) Gd2YZr after structural relaxation. Source: Alexandria, functional GGA-PBE.

The structure in POSCAR format:
```
Gd2YZr
1.0
5.528 0.000 0.000
2.764 4.787 0.000
2.764 1.596 4.514
Y Gd Zr
1 2 1
Direct
0.000 0.000 0.000
0.250 0.250 0.250
0.750 0.750 0.750
0.500 0.500 0.500
```

Mass density   6876 kg/m³
Space-group type   Fm-3m (225)
Spin magnetization   16.8 μB per cell


Out of the structures above, which one is the least stable? Solution: 1).